(1)
A plane-wave DFT calculation with PBE-GGA was carried out for an optimized crystal structure of YNbRh2. Values from VASP.

Quantum ESPRESSO input file:
```
&SYSTEM
  ibrav = 0, nat = 4, ntyp = 3
/
ATOMIC_SPECIES
Y 88.91 Y.upf
Nb 92.91 Nb.upf
Rh 102.91 Rh.upf
CELL_PARAMETERS angstrom
4.8429 0.0000 0.0000
0.0000 4.8429 0.0000
0.0000 0.0000 3.0770
ATOMIC_POSITIONS crystal
Y 0.0000 0.0000 0.0000
Nb 0.5000 0.5000 0.0000
Rh 0.0000 0.5000 0.5000
Rh 0.5000 0.0000 0.5000
```

Calculated values
For the energy relative to the elements, the calculation gives -0.45 eV/atom. Its space group is P4/mmm (123). As for the crystal system: tetragonal.


(2)
A plane-wave DFT calculation with PBE-GGA was carried out for an optimized crystal structure of Y3NbRh. Values from VASP.

Quantum ESPRESSO input file:
```
&SYSTEM
  ibrav = 0, nat = 5, ntyp = 3
/
ATOMIC_SPECIES
Y 88.91 Y.upf
Nb 92.91 Nb.upf
Rh 102.91 Rh.upf
CELL_PARAMETERS angstrom
5.2619 0.0000 0.0000
0.0000 5.2619 0.0000
0.0000 0.0000 5.2619
ATOMIC_POSITIONS crystal
Y 0.0000 0.0000 0.5000
Y 0.0000 0.5000 0.0000
Y 0.5000 0.0000 0.0000
Nb 0.0000 0.0000 0.0000
Rh 0.5000 0.5000 0.5000
```

Calculated values
For the energy relative to the elements, the calculation gives 0.80 eV/atom. The energy above the lowest structure with this stoichiometry is 0.542 eV per atom. Its space group is Pm-3m (221). As for the crystal system: cubic.


(3)
A plane-wave DFT calculation with PBE-GGA was carried out for an optimized crystal structure of YNb3Rh. Values from VASP.

Quantum ESPRESSO input file:
```
&SYSTEM
  ibrav = 0, nat = 5, ntyp = 3
/
ATOMIC_SPECIES
Y 88.91 Y.upf
Nb 92.91 Nb.upf
Rh 102.91 Rh.upf
CELL_PARAMETERS angstrom
4.8454 0.0000 0.0000
0.0000 4.8454 0.0000
0.0000 0.0000 4.8454
ATOMIC_POSITIONS crystal
Y 0.0000 0.0000 0.0000
Nb 0.0000 0.0000 0.5000
Nb 0.0000 0.5000 0.0000
Nb 0.5000 0.0000 0.0000
Rh 0.5000 0.5000 0.5000
```

Calculated values
For the energy relative to the elements, the calculation gives 2.20 eV/atom. The energy above the lowest structure with this stoichiometry is 1.519 eV per atom. Its space group is Pm-3m (221). As for the crystal system: cubic.


(4)
A plane-wave DFT calculation with PBE-GGA was carried out for an optimized crystal structure of Y3NbRh. Values from VASP.

Quantum ESPRESSO input file:
```
&SYSTEM
  ibrav = 0, nat = 5, ntyp = 3
/
ATOMIC_SPECIES
Y 88.91 Y.upf
Nb 92.91 Nb.upf
Rh 102.91 Rh.upf
CELL_PARAMETERS angstrom
5.3145 0.0000 0.0000
0.0000 5.3145 0.0000
0.0000 0.0000 5.3145
ATOMIC_POSITIONS crystal
Y 0.0000 0.0000 0.5000
Y 0.0000 0.5000 0.0000
Y 0.5000 0.0000 0.0000
Nb 0.5000 0.5000 0.5000
Rh 0.0000 0.0000 0.0000
```

Calculated values
For the energy relative to the elements, the calculation gives 0.25 eV/atom. The energy above the lowest structure with this stoichiometry is 0.000 eV per atom. Its space group is Pm-3m (221). As for the crystal system: cubic.


(5)
A plane-wave DFT calculation with PBE-GGA was carried out for an optimized crystal structure of YNbRh2. Values from VASP.

Quantum ESPRESSO input file:
```
&SYSTEM
  ibrav = 0, nat = 4, ntyp = 3
/
ATOMIC_SPECIES
Y 88.91 Y.upf
Nb 92.91 Nb.upf
Rh 102.91 Rh.upf
CELL_PARAMETERS angstrom
3.2093 0.0000 0.0000
0.0000 3.2093 0.0000
0.0000 0.0000 7.1703
ATOMIC_POSITIONS crystal
Y 0.0000 0.0000 0.0000
Nb 0.0000 0.0000 0.5000
Rh 0.5000 0.5000 0.2894
Rh 0.5000 0.5000 0.7106
```

Calculated values
For the energy relative to the elements, the calculation gives -0.53 eV/atom. Its space group is P4/mmm (123). As for the crystal system: tetragonal.


(6)
A plane-wave DFT calculation with PBE-GGA was carried out for an optimized crystal structure of YNbRh2. Values from VASP.

Quantum ESPRESSO input file:
```
&SYSTEM
  ibrav = 0, nat = 8, ntyp = 3
/
ATOMIC_SPECIES
Y 88.91 Y.upf
Nb 92.91 Nb.upf
Rh 102.91 Rh.upf
CELL_PARAMETERS angstrom
-3.6442 3.6442 2.9922
3.6442 -3.6442 2.9922
3.6442 3.6442 -2.9922
ATOMIC_POSITIONS crystal
Y 0.0000 0.0000 0.0000
Y 0.7500 0.2500 0.5000
Nb 0.2500 0.7500 0.5000
Nb 0.5000 0.5000 0.0000
Rh 0.1614 0.1250 0.5364
Rh 0.3750 0.8386 0.9636
Rh 0.5886 0.6250 0.4636
Rh 0.8750 0.4114 0.0364
```

Calculated values
For the energy relative to the elements, the calculation gives -0.16 eV/atom. Its space group is I-42d (122). As for the crystal system: tetragonal.


(7)
A plane-wave DFT calculation with PBE-GGA was carried out for an optimized crystal structure of YNb3Rh. Values from VASP.

Quantum ESPRESSO input file:
```
&SYSTEM
  ibrav = 0, nat = 5, ntyp = 3
/
ATOMIC_SPECIES
Y 88.91 Y.upf
Nb 92.91 Nb.upf
Rh 102.91 Rh.upf
CELL_PARAMETERS angstrom
4.9051 0.0000 0.0000
0.0000 4.9051 0.0000
0.0000 0.0000 4.9051
ATOMIC_POSITIONS crystal
Y 0.0000 0.0000 0.0000
Nb 0.0000 0.5000 0.5000
Nb 0.5000 0.0000 0.5000
Nb 0.5000 0.5000 0.0000
Rh 0.5000 0.5000 0.5000
```

Calculated values
For the energy relative to the elements, the calculation gives 0.68 eV/atom. The energy above the lowest structure with this stoichiometry is 0.000 eV per atom. Its space group is Pm-3m (221). As for the crystal system: cubic.


(8)
A plane-wave DFT calculation with PBE-GGA was carried out for an optimized crystal structure of YNb2Rh2. Values from VASP.

Quantum ESPRESSO input file:
```
&SYSTEM
  ibrav = 0, nat = 5, ntyp = 3
/
ATOMIC_SPECIES
Y 88.91 Y.upf
Nb 92.91 Nb.upf
Rh 102.91 Rh.upf
CELL_PARAMETERS angstrom
-2.2264 2.2264 5.1866
2.2264 -2.2264 5.1866
2.2264 2.2264 -5.1866
ATOMIC_POSITIONS crystal
Y 0.0000 0.0000 0.0000
Nb 0.2500 0.7500 0.5000
Nb 0.7500 0.2500 0.5000
Rh 0.3742 0.3742 0.0000
Rh 0.6258 0.6258 0.0000
```

Calculated values
For the energy relative to the elements, the calculation gives -0.37 eV/atom. The energy above the lowest structure with this stoichiometry is 0.000 eV per atom. Its space group is I4/mmm (139). As for the crystal system: tetragonal.


(9)
A plane-wave DFT calculation with PBE-GGA was carried out for an optimized crystal structure of YNbRh3. Values from VASP.

Quantum ESPRESSO input file:
```
&SYSTEM
  ibrav = 0, nat = 5, ntyp = 3
/
ATOMIC_SPECIES
Y 88.91 Y.upf
Nb 92.91 Nb.upf
Rh 102.91 Rh.upf
CELL_PARAMETERS angstrom
4.7544 0.0000 0.0000
0.0000 4.7544 0.0000
0.0000 0.0000 4.7544
ATOMIC_POSITIONS crystal
Y 0.0000 0.0000 0.0000
Nb 0.5000 0.5000 0.5000
Rh 0.0000 0.5000 0.5000
Rh 0.5000 0.0000 0.5000
Rh 0.5000 0.5000 0.0000
```

Calculated values
For the energy relative to the elements, the calculation gives 0.14 eV/atom. The energy above the lowest structure with this stoichiometry is 0.000 eV per atom. Its space group is Pm-3m (221). As for the crystal system: cubic.


(10)
A plane-wave DFT calculation with PBE-GGA was carried out for an optimized crystal structure of YNb2Rh2. Values from VASP.

Quantum ESPRESSO input file:
```
&SYSTEM
  ibrav = 0, nat = 10, ntyp = 3
/
ATOMIC_SPECIES
Y 88.91 Y.upf
Nb 92.91 Nb.upf
Rh 102.91 Rh.upf
CELL_PARAMETERS angstrom
7.8104 0.0000 0.0000
0.0000 7.8104 0.0000
0.0000 0.0000 3.0486
ATOMIC_POSITIONS crystal
Y 0.0000 0.0000 0.0000
Y 0.5000 0.5000 0.0000
Nb 0.1641 0.3359 0.5000
Nb 0.3359 0.8359 0.5000
Nb 0.6641 0.1641 0.5000
Nb 0.8359 0.6641 0.5000
Rh 0.1278 0.6278 0.0000
Rh 0.3722 0.1278 0.0000
Rh 0.6278 0.8722 0.0000
Rh 0.8722 0.3722 0.0000
```

Calculated values
For the energy relative to the elements, the calculation gives -0.25 eV/atom. The energy above the lowest structure with this stoichiometry is 0.118 eV per atom. Its space group is P4/mbm (127). As for the crystal system: tetragonal.


(11)
A plane-wave DFT calculation with PBE-GGA was carried out for an optimized crystal structure of Y2NbZn2Rh5. Values from VASP.

Quantum ESPRESSO input file:
```
&SYSTEM
  ibrav = 0, nat = 20, ntyp = 4
/
ATOMIC_SPECIES
Y 88.91 Y.upf
Nb 92.91 Nb.upf
Zn 65.41 Zn.upf
Rh 102.91 Rh.upf
CELL_PARAMETERS angstrom
9.8243 0.0000 0.0000
0.0000 9.8243 0.0000
0.0000 0.0000 3.5494
ATOMIC_POSITIONS crystal
Y 0.1716 0.3284 0.0000
Y 0.3284 0.8284 0.0000
Y 0.6716 0.1716 0.0000
Y 0.8284 0.6716 0.0000
Nb 0.0000 0.0000 0.0000
Nb 0.5000 0.5000 0.0000
Zn 0.1257 0.6257 0.0000
Zn 0.3743 0.1257 0.0000
Zn 0.6257 0.8743 0.0000
Zn 0.8743 0.3743 0.0000
Rh 0.0000 0.5000 0.5000
Rh 0.0661 0.8012 0.5000
Rh 0.1988 0.0661 0.5000
Rh 0.3012 0.5661 0.5000
Rh 0.4339 0.3012 0.5000
Rh 0.5000 0.0000 0.5000
Rh 0.5661 0.6988 0.5000
Rh 0.6988 0.4339 0.5000
Rh 0.8012 0.9339 0.5000
Rh 0.9339 0.1988 0.5000
```

Calculated values
For the energy relative to the elements, the calculation gives -0.61 eV/atom. Its space group is P4/mbm (127). As for the crystal system: tetragonal.


(12)
A plane-wave DFT calculation with PBE-GGA was carried out for an optimized crystal structure of NbZnRh2. Values from VASP.

Quantum ESPRESSO input file:
```
&SYSTEM
  ibrav = 0, nat = 8, ntyp = 3
/
ATOMIC_SPECIES
Nb 92.91 Nb.upf
Zn 65.41 Zn.upf
Rh 102.91 Rh.upf
CELL_PARAMETERS angstrom
-3.4278 3.4278 2.8305
3.4278 -3.4278 2.8305
3.4278 3.4278 -2.8305
ATOMIC_POSITIONS crystal
Nb 0.0000 0.0000 0.0000
Nb 0.7500 0.2500 0.5000
Zn 0.2500 0.7500 0.5000
Zn 0.5000 0.5000 0.0000
Rh 0.1190 0.6250 0.9940
Rh 0.3750 0.3690 0.4940
Rh 0.6310 0.1250 0.0060
Rh 0.8750 0.8810 0.5060
```

Calculated values
For the energy relative to the elements, the calculation gives 0.03 eV/atom. Its space group is I-42d (122). As for the crystal system: tetragonal.


Among the records above, which one has the highest energy relative to the elements? number 3